(1)
The following is a PBE calculation of a relaxed structure of KNaNbO2, from the Alexandria database.

Structure (POSCAR):
```
KNaNbO2
1.0
4.523 0.000 0.000
0.000 4.756 0.000
0.000 0.000 4.523
Na Nb O K
1 1 2 1
direct
0.000 0.000 0.000
0.000 0.500 0.000
0.000 0.000 0.500
0.500 0.000 0.000
0.500 0.500 0.500
```

Summary:
The mass density comes out at 3.19 Mg/m³.

=====

(2)
The following is a PBE calculation of a relaxed structure of EuUPd4, from the Alexandria database.

Structure (POSCAR):
```
EuUPd4
1.0
5.474 0.000 0.000
2.737 4.741 0.000
2.737 1.580 4.470
Pd Eu U
4 1 1
direct
0.625 0.625 0.126
0.625 0.625 0.625
0.126 0.625 0.625
0.625 0.126 0.625
0.000 0.000 0.000
0.250 0.250 0.250
```

Summary:
The value obtained for the formation energy is -0.448 eV per atom. The mass density comes out at 11.68 Mg/m³.

=====

(3)
The following is a PBE calculation of a relaxed structure of HoErMgHg, from the Alexandria database.

Structure (POSCAR):
```
HoErMgHg
1.0
5.262 0.000 0.000
2.631 4.557 0.000
2.631 1.519 4.296
Ho Mg Er Hg
1 1 1 1
direct
0.250 0.250 0.250
0.000 0.000 0.000
0.750 0.750 0.750
0.500 0.500 0.500
```

Summary:
The value obtained for the formation energy is -0.258 eV per atom. The mass density comes out at 8.98 Mg/m³. As for the excess energy over the best structure of this formula in the dataset: 17.9 meV per atom.

=====

(4)
The following is a PBE calculation of a relaxed structure of TcHOsAuN, from the Alexandria database.

Structure (POSCAR):
```
TcHOsAuN
1.0
-2.752 -1.767 0.957
2.760 -3.183 2.061
1.707 5.375 6.014
H Os Tc N Au
2 2 2 2 2
direct
0.975 0.500 0.522
0.975 0.000 0.022
0.414 0.500 0.446
0.414 0.000 0.946
0.467 0.000 0.611
0.467 0.500 0.111
0.053 0.000 0.717
0.053 0.500 0.217
0.683 0.000 0.313
0.683 0.500 0.813
```

Summary:
The mass density comes out at 13.22 Mg/m³. As for the excess energy over the best structure of this formula in the dataset: 74.1 meV per atom.

=====

(5)
The following is a PBE calculation of a relaxed structure of BaZr4N6, from the Alexandria database.

Structure (POSCAR):
```
BaZr4N6
1.0
-1.240 1.915 -2.378
4.068 -3.215 -2.425
-11.803 -12.180 -3.653
Zr N Ba
8 12 2
direct
0.398 0.796 0.136
0.602 0.204 0.636
0.131 0.262 0.046
0.869 0.738 0.546
0.131 0.262 0.454
0.398 0.796 0.364
0.602 0.204 0.864
0.869 0.738 0.954
0.500 0.000 0.500
0.237 0.474 0.579
0.024 0.048 0.356
0.976 0.952 0.644
0.024 0.048 0.144
0.763 0.526 0.421
0.237 0.474 0.921
0.656 0.312 0.750
0.500 0.000 0.000
0.763 0.526 0.079
0.344 0.688 0.250
0.976 0.952 0.856
0.348 0.697 0.750
0.652 0.303 0.250
```

Summary:
The mass density comes out at 6.21 Mg/m³.

=====

(6)
The following is a PBE calculation of a relaxed structure of ErPaTlPb, from the Alexandria database.

Structure (POSCAR):
```
ErPaTlPb
1.0
5.381 0.000 0.000
2.690 4.660 0.000
2.690 1.553 4.393
Pa Pb Tl Er
1 1 1 1
direct
0.250 0.250 0.250
0.000 0.000 0.000
0.500 0.500 0.500
0.750 0.750 0.750
```

Summary:
The value obtained for the formation energy is 0.017 eV per atom. The mass density comes out at 12.21 Mg/m³.

=====

(7)
The following is a PBE calculation of a relaxed structure of Li6ZnCd12, from the Alexandria database.

Structure (POSCAR):
```
Li6ZnCd12
1.0
7.159 0.482 0.577
-0.609 7.150 0.577
-0.609 -0.710 7.138
Li Cd Zn
6 12 1
direct
0.110 0.735 0.268
0.735 0.268 0.110
0.268 0.110 0.735
0.890 0.265 0.732
0.732 0.890 0.265
0.265 0.732 0.890
0.973 0.849 0.631
0.849 0.631 0.973
0.431 0.805 0.529
0.369 0.027 0.151
0.151 0.369 0.027
0.529 0.431 0.805
0.027 0.151 0.369
0.805 0.529 0.431
0.631 0.973 0.849
0.471 0.569 0.195
0.569 0.195 0.471
0.195 0.471 0.569
0.000 0.000 0.000
```

Summary:
The value obtained for the formation energy is -0.175 eV per atom. The mass density comes out at 6.48 Mg/m³.

=====

(8)
The following is a PBE calculation of a relaxed structure of ScAl3Se, from the Alexandria database.

Structure (POSCAR):
```
ScAl3Se
1.0
4.920 0.000 0.000
0.000 4.920 0.000
0.000 0.000 4.920
Al Se Sc
3 1 1
direct
0.000 0.500 0.000
0.000 0.000 0.500
0.500 0.000 0.000
0.000 0.000 0.000
0.500 0.500 0.500
```

Summary:
The mass density comes out at 2.86 Mg/m³. As for the excess energy over the best structure of this formula in the dataset: 0.0 meV per atom.

=====

Values of DFT total energy, in order: -3.63, -7.50, -3.02, -6.91, -9.21, -5.02, -1.42, -3.73, all in eV per atom.